Record 1
Below is a relaxed TiMn2AlTe crystal, with properties calculated at the GGA-PBE level.

abc: 4.6982 4.6982 5.1739
angles: 90.00 90.00 90.00
Element x y z (fractional)
Ti: 0.0000 0.0000 0.0000
Mn: 0.0000 0.5000 0.5000
Mn: 0.5000 0.0000 0.5000
Al: 0.5000 0.5000 0.0000
Te: 0.5000 0.5000 0.5000

Values from the calculation:
For the formation energy without anion corrections, the calculation gives 111.8 kJ/mol of atoms.


Record 2
Below is a relaxed MnAl2Tl3Te6 crystal, with properties calculated at the GGA-PBE level.

abc: 7.1745 7.1745 8.3434
angles: 98.16 98.16 120.27
Element x y z (fractional)
Mn: 0.0000 0.0000 0.0000
Al: 0.3335 0.6665 0.0000
Al: 0.6665 0.3335 0.0000
Tl: 0.1686 0.8314 0.5000
Tl: 0.5000 0.5000 0.5000
Tl: 0.8314 0.1686 0.5000
Te: 0.0640 0.3978 0.1909
Te: 0.2685 0.2685 0.8097
Te: 0.3978 0.0640 0.1909
Te: 0.6022 0.9360 0.8091
Te: 0.7315 0.7315 0.1903
Te: 0.9360 0.6022 0.8091

Values from the calculation:
For the formation energy without anion corrections, the calculation gives -30.0 kJ/mol of atoms.


Record 3
Below is a relaxed MnAl2VTe crystal, with properties calculated at the GGA-PBE level.

abc: 4.9132 4.9132 4.1478
angles: 90.00 90.00 90.00
Element x y z (fractional)
Mn: 0.0000 0.0000 0.0000
Al: 0.0000 0.5000 0.5000
Al: 0.5000 0.0000 0.5000
V: 0.0000 0.0000 0.5000
Te: 0.5000 0.5000 0.0000

Values from the calculation:
For the formation energy without anion corrections, the calculation gives 77.6 kJ/mol of atoms.


Record 4
Below is a relaxed Mn2AlTeW crystal, with properties calculated at the GGA-PBE level.

abc: 4.4553 4.4553 4.9731
angles: 90.00 90.00 90.00
Element x y z (fractional)
Mn: 0.0000 0.5000 0.0000
Mn: 0.5000 0.0000 0.0000
Al: 0.0000 0.0000 0.5000
Te: 0.0000 0.0000 0.0000
W: 0.5000 0.5000 0.5000

Values from the calculation:
For the formation energy without anion corrections, the calculation gives 204.3 kJ/mol of atoms.


Record 5
Below is a relaxed YMnAl2Te crystal, with properties calculated at the GGA-PBE level.

abc: 5.3376 5.3376 4.8469
angles: 90.00 90.00 90.00
Element x y z (fractional)
Y: 0.0000 0.0000 0.0000
Mn: 0.5000 0.5000 0.0000
Al: 0.0000 0.5000 0.5000
Al: 0.5000 0.0000 0.5000
Te: 0.5000 0.5000 0.5000

Values from the calculation:
For the formation energy without anion corrections, the calculation gives 67.4 kJ/mol of atoms.


Record 6
Below is a relaxed MnAl2ZnTe6 crystal, with properties calculated at the GGA-PBE level.

abc: 9.1430 9.1430 7.1750
angles: 98.92 98.92 86.65
Element x y z (fractional)
Mn: 0.0940 0.9060 0.7500
Mn: 0.9060 0.0940 0.2500
Al: 0.2256 0.4070 0.6984
Al: 0.4070 0.2256 0.1984
Al: 0.5930 0.7744 0.8016
Al: 0.7744 0.5930 0.3016
Zn: 0.2469 0.7531 0.2500
Zn: 0.7531 0.2469 0.7500
Te: 0.0320 0.1878 0.6177
Te: 0.0961 0.6386 0.8837
Te: 0.1878 0.0320 0.1177
Te: 0.2972 0.4700 0.3807
Te: 0.3614 0.9039 0.6163
Te: 0.4700 0.2972 0.8807
Te: 0.5300 0.7028 0.1193
Te: 0.6386 0.0961 0.3837
Te: 0.7028 0.5300 0.6193
Te: 0.8122 0.9680 0.8823
Te: 0.9039 0.3614 0.1163
Te: 0.9680 0.8122 0.3823

Values from the calculation:
For the formation energy without anion corrections, the calculation gives -21.7 kJ/mol of atoms.


Record 7
Below is a relaxed ThMnAl crystal, with properties calculated at the GGA-PBE level.

abc: 7.5829 4.6251 6.8914
angles: 90.00 90.00 90.00
Element x y z (fractional)
Th: 0.0308 0.2500 0.1840
Th: 0.4692 0.7500 0.6840
Th: 0.5308 0.2500 0.3160
Th: 0.9692 0.7500 0.8160
Mn: 0.1319 0.7500 0.4519
Mn: 0.3681 0.2500 0.9519
Mn: 0.6319 0.7500 0.0481
Mn: 0.8681 0.2500 0.5481
Al: 0.1945 0.2500 0.6226
Al: 0.3055 0.7500 0.1226
Al: 0.6945 0.2500 0.8774
Al: 0.8055 0.7500 0.3774

Values from the calculation:
The calculation puts the energy of formation from the pure elements at -0.1882 eV per atom.


Record 8
Below is a relaxed ThMnAl crystal, with properties calculated at the GGA-PBE level.

abc: 4.6262 4.6262 3.5217
angles: 90.00 90.00 120.00
Element x y z (fractional)
Th: 0.0000 0.0000 0.0000
Mn: 0.3333 0.6667 0.5000
Al: 0.6667 0.3333 0.5000

Values from the calculation:
The calculation puts the energy of formation from the pure elements at -0.0686 eV per atom.


Record 9
Below is a relaxed ThMnAl3 crystal, with properties calculated at the GGA-PBE level.

abc: 4.5744 4.5744 4.5744
angles: 90.00 90.00 90.00
Element x y z (fractional)
Th: 0.0000 0.0000 0.0000
Mn: 0.5000 0.5000 0.5000
Al: 0.0000 0.5000 0.5000
Al: 0.5000 0.0000 0.5000
Al: 0.5000 0.5000 0.0000

Values from the calculation:
The calculation puts the energy of formation from the pure elements at -0.2348 eV per atom. As for the distance to the lowest polymorph of the same formula: 0.00 eV/f.u.


Record 10
Below is a relaxed ThMn10Al2 crystal, with properties calculated at the GGA-PBE level.

abc: 6.5300 6.5300 8.1740
angles: 90.00 90.00 98.96
Element x y z (fractional)
Th: 0.1241 0.8759 0.7500
Th: 0.8759 0.1241 0.2500
Mn: 0.1358 0.3685 0.7500
Mn: 0.1724 0.8276 0.1167
Mn: 0.1724 0.8276 0.3833
Mn: 0.2288 0.2288 0.0000
Mn: 0.2288 0.2288 0.5000
Mn: 0.2578 0.4851 0.2500
Mn: 0.3685 0.1358 0.2500
Mn: 0.4023 0.5977 0.5712
Mn: 0.4023 0.5977 0.9288
Mn: 0.4851 0.2578 0.7500
Mn: 0.5149 0.7422 0.2500
Mn: 0.5977 0.4023 0.0712
Mn: 0.5977 0.4023 0.4288
Mn: 0.6315 0.8642 0.7500
Mn: 0.7422 0.5149 0.7500
Mn: 0.7712 0.7712 0.0000
Mn: 0.7712 0.7712 0.5000
Mn: 0.8276 0.1724 0.6167
Mn: 0.8276 0.1724 0.8833
Mn: 0.8642 0.6315 0.2500
Al: 0.0000 0.5000 0.0000
Al: 0.0000 0.5000 0.5000
Al: 0.5000 0.0000 0.0000
Al: 0.5000 0.0000 0.5000

Values from the calculation:
The calculation puts the energy of formation from the pure elements at -0.0276 eV per atom.


Record 11
Below is a relaxed ThMn2Al10 crystal, with properties calculated at the GGA-PBE level.

abc: 6.8309 6.8309 9.0991
angles: 90.00 90.00 97.37
Element x y z (fractional)
Th: 0.1249 0.8751 0.7500
Th: 0.8751 0.1249 0.2500
Mn: 0.0000 0.5000 0.0000
Mn: 0.0000 0.5000 0.5000
Mn: 0.5000 0.0000 0.0000
Mn: 0.5000 0.0000 0.5000
Al: 0.1326 0.4081 0.7500
Al: 0.1604 0.8396 0.0982
Al: 0.1604 0.8396 0.4018
Al: 0.2193 0.4782 0.2500
Al: 0.2300 0.2300 0.0000
Al: 0.2300 0.2300 0.5000
Al: 0.3761 0.6239 0.5465
Al: 0.3761 0.6239 0.9535
Al: 0.4081 0.1326 0.2500
Al: 0.4782 0.2193 0.7500
Al: 0.5218 0.7807 0.2500
Al: 0.5919 0.8674 0.7500
Al: 0.6239 0.3761 0.0465
Al: 0.6239 0.3761 0.4535
Al: 0.7700 0.7700 0.0000
Al: 0.7700 0.7700 0.5000
Al: 0.7807 0.5218 0.7500
Al: 0.8396 0.1604 0.5982
Al: 0.8396 0.1604 0.9018
Al: 0.8674 0.5919 0.2500

Values from the calculation:
The calculation puts the energy of formation from the pure elements at -0.3047 eV per atom.


Record 12
Below is a relaxed ThMnAl crystal, with properties calculated at the GGA-PBE level.

abc: 6.1971 6.1971 6.1971
angles: 149.21 149.21 44.11
Element x y z (fractional)
Th: 0.0000 0.0000 0.0000
Mn: 0.3162 0.3162 0.0000
Al: 0.7050 0.7050 0.0000

Values from the calculation:
The calculation puts the energy of formation from the pure elements at -0.0205 eV per atom.


Record 13
Below is a relaxed Th3MnAl crystal, with properties calculated at the GGA-PBE level.

abc: 5.1776 5.1776 5.1776
angles: 90.00 90.00 90.00
Element x y z (fractional)
Th: 0.0000 0.0000 0.5000
Th: 0.0000 0.5000 0.0000
Th: 0.5000 0.0000 0.0000
Mn: 0.0000 0.0000 0.0000
Al: 0.5000 0.5000 0.5000

Values from the calculation:
The calculation puts the energy of formation from the pure elements at -0.0062 eV per atom.


Record 14
Below is a relaxed ThMn3Al10 crystal, with properties calculated at the GGA-PBE level.

abc: 8.8923 8.8923 8.8923
angles: 60.00 60.00 60.00
Element x y z (fractional)
Th: 0.2500 0.2500 0.2500
Th: 0.7500 0.7500 0.7500
Mn: 0.2368 0.2368 0.7632
Mn: 0.2368 0.7632 0.2368
Mn: 0.2368 0.7632 0.7632
Mn: 0.7632 0.2368 0.2368
Mn: 0.7632 0.2368 0.7632
Mn: 0.7632 0.7632 0.2368
Al: 0.1056 0.1056 0.1056
Al: 0.1056 0.1056 0.6833
Al: 0.1056 0.6833 0.1056
Al: 0.1770 0.5000 0.5000
Al: 0.1770 0.5000 0.8230
Al: 0.1770 0.8230 0.5000
Al: 0.3167 0.8944 0.8944
Al: 0.5000 0.1770 0.5000
Al: 0.5000 0.1770 0.8230
Al: 0.5000 0.5000 0.1770
Al: 0.5000 0.5000 0.8230
Al: 0.5000 0.8230 0.1770
Al: 0.5000 0.8230 0.5000
Al: 0.6833 0.1056 0.1056
Al: 0.8230 0.1770 0.5000
Al: 0.8230 0.5000 0.1770
Al: 0.8230 0.5000 0.5000
Al: 0.8944 0.3167 0.8944
Al: 0.8944 0.8944 0.3167
Al: 0.8944 0.8944 0.8944

Values from the calculation:
The calculation puts the energy of formation from the pure elements at 0.0423 eV per atom.


Record 15
Below is a relaxed ThMnAl3 crystal, with properties calculated at the GGA-PBE level.

abc: 6.4603 6.4603 6.4603
angles: 117.46 115.31 96.39
Element x y z (fractional)
Th: 0.2378 0.2378 0.0000
Th: 0.7622 0.7622 0.0000
Mn: 0.0000 0.3492 0.3492
Mn: 0.0000 0.6508 0.6508
Al: 0.2651 0.7651 0.5000
Al: 0.3110 0.2004 0.5114
Al: 0.3110 0.7996 0.1106
Al: 0.6890 0.2004 0.8894
Al: 0.6890 0.7996 0.4886
Al: 0.7349 0.2349 0.5000

Values from the calculation:
The calculation puts the energy of formation from the pure elements at -0.1343 eV per atom. As for the distance to the lowest polymorph of the same formula: 0.50 eV/f.u.


Record 16
Below is a relaxed ThMnAl crystal, with properties calculated at the GGA-PBE level.

abc: 5.4847 5.4847 5.4847
angles: 118.96 118.82 91.94
Element x y z (fractional)
Th: 0.3867 0.1367 0.2500
Th: 0.6133 0.8633 0.7500
Mn: 0.0000 0.5000 0.5000
Mn: 0.5000 0.5000 0.0000
Al: 0.0000 0.0000 0.5000
Al: 0.0000 0.5000 0.0000

Values from the calculation:
The calculation puts the energy of formation from the pure elements at -0.2066 eV per atom.


Record 17
Below is a relaxed TmThMnAl crystal, with properties calculated at the GGA-PBE level.

abc: 5.0959 5.0959 5.0959
angles: 60.00 60.00 60.00
Element x y z (fractional)
Tm: 0.0000 0.0000 0.0000
Th: 0.5000 0.5000 0.5000
Mn: 0.2500 0.2500 0.2500
Al: 0.7500 0.7500 0.7500

Values from the calculation:
The calculation puts the energy of formation from the pure elements at -0.0167 eV per atom.


Record 18
Below is a relaxed Ti4MnAl crystal, with properties calculated at the GGA-PBE level.

abc: 5.1524 5.1524 5.6030
angles: 121.68 121.68 50.08
Element x y z (fractional)
Ti: 0.1398 0.1398 0.3018
Ti: 0.2077 0.2077 0.8556
Ti: 0.7923 0.7923 0.1444
Ti: 0.8602 0.8602 0.6982
Mn: 0.5000 0.5000 0.0000
Al: 0.5000 0.5000 0.5000

Values from the calculation:
The calculation puts the energy of formation from the pure elements at -0.1672 eV per atom. As for the distance to the lowest polymorph of the same formula: 0.00 eV/f.u.


Record 19
Below is a relaxed Ti3Mn2Al crystal, with properties calculated at the GGA-PBE level.

abc: 3.0473 3.0473 9.1778
angles: 90.00 90.00 90.00
Element x y z (fractional)
Ti: 0.0000 0.0000 0.0000
Ti: 0.0000 0.0000 0.3092
Ti: 0.0000 0.0000 0.6908
Mn: 0.5000 0.5000 0.1669
Mn: 0.5000 0.5000 0.8331
Al: 0.5000 0.5000 0.5000

Values from the calculation:
The calculation puts the energy of formation from the pure elements at -0.3398 eV per atom.


Record 20
Below is a relaxed Ti8MnAl2 crystal, with properties calculated at the GGA-PBE level.

abc: 7.5715 7.5715 7.5715
angles: 144.73 133.53 59.66
Element x y z (fractional)
Ti: 0.1345 0.3691 0.7653
Ti: 0.1795 0.1795 0.0000
Ti: 0.2584 0.0000 0.2584
Ti: 0.3962 0.6309 0.7653
Ti: 0.6038 0.3691 0.2347
Ti: 0.7416 0.0000 0.7416
Ti: 0.8205 0.8205 0.0000
Ti: 0.8655 0.6309 0.2347
Mn: 0.0000 0.5000 0.5000
Al: 0.3119 0.8119 0.5000
Al: 0.6881 0.1881 0.5000

Values from the calculation:
The calculation puts the energy of formation from the pure elements at -0.1969 eV per atom.


no.,Fermi-level density of states (states/eV per cell),electronic total energy (eV per atom)
1,5.16,-5.47
2,4.66,-3.86
3,3.70,-4.98
4,4.45,-5.52
5,6.25,-4.55
6,9.21,-3.90
7,10.30,-6.97
8,3.70,-6.85
9,1.17,-5.80
10,25.77,-8.23
11,13.02,-5.17
12,2.76,-6.80
13,3.96,-7.04
14,21.29,-5.13
15,8.17,-5.70
16,5.19,-6.98
17,3.61,-6.22
18,6.74,-7.58
19,4.23,-7.97
20,12.34,-7.45